1.
DFT (GGA-PBE) results for a geometry-optimized TlCd2P2 structure.

a b c (Å): 4.5237 4.5237 11.3608
angles (deg): 90.00 90.00 90.00
Space group I4/mmm (No. 139)
One atom of each set of equivalent atoms:
1 Tl 0.0000 0.0000 0.0000
2 Cd 0.0000 0.5000 0.2500
3 P 0.0000 0.0000 0.3891

Calculated volume   23.2 A^3/atom
Raw total energy   -28.87 eV per cell
Formation enthalpy at 0 K   11.20 kJ per mole of atoms

2.
DFT (GGA-PBE) results for a geometry-optimized TlCdP2 structure.

a b c (Å): 3.7333 3.7333 6.7751
angles (deg): 90.00 90.00 90.00
Space group P4/mmm (No. 123)
One atom of each set of equivalent atoms:
1 Tl 0.0000 0.0000 0.0000
2 Cd 0.0000 0.0000 0.5000
3 P 0.5000 0.5000 0.3380

Calculated volume   23.6 A^3/atom
Raw total energy   -13.19 eV per cell
Formation enthalpy at 0 K   22.01 kJ per mole of atoms

3.
DFT (GGA-PBE) results for a geometry-optimized TlCd2P2 structure.

a b c (Å): 4.3631 4.3631 12.2701
angles (deg): 90.00 90.00 90.00
Space group I4/mmm (No. 139)
One atom of each set of equivalent atoms:
1 Tl 0.0000 0.0000 0.0000
2 Cd 0.0000 0.0000 0.3844
3 P 0.0000 0.5000 0.2500

Calculated volume   23.4 A^3/atom
Raw total energy   -27.33 eV per cell
Formation enthalpy at 0 K   26.05 kJ per mole of atoms

4.
DFT (GGA-PBE) results for a geometry-optimized TlCd2P structure.

a b c (Å): 7.4404 4.2860 7.1272
angles (deg): 90.00 110.27 90.00
Space group Cm (No. 8)
One atom of each set of equivalent atoms:
1 Tl 0.0000 0.0000 0.0000
2 Cd 0.2261 0.0000 0.6749
3 Cd 0.4650 0.0000 0.3980
4 P 0.2588 0.5000 0.2809

Calculated volume   26.7 A^3/atom
Raw total energy   -18.32 eV per cell
Formation enthalpy at 0 K   10.79 kJ per mole of atoms

5.
DFT (GGA-PBE) results for a geometry-optimized TlCdP2 structure.

a b c (Å): 3.9251 3.9779 5.5512
angles (deg): 90.00 90.00 90.00
Space group Pmmm (No. 47)
One atom of each set of equivalent atoms:
1 Tl 0.0000 0.0000 0.0000
2 Cd 0.0000 0.5000 0.5000
3 P 0.5000 0.0000 0.5000
4 P 0.5000 0.5000 0.0000

Calculated volume   21.7 A^3/atom
Raw total energy   -11.93 eV per cell
Formation enthalpy at 0 K   52.33 kJ per mole of atoms

6.
DFT (GGA-PBE) results for a geometry-optimized TlCdP2 structure.

a b c (Å): 11.0623 3.2286 5.8356
angles (deg): 90.00 103.32 90.00
Space group C2/m (No. 12)
One atom of each set of equivalent atoms:
1 Tl 0.0000 0.0000 0.0000
2 Cd 0.0000 0.5000 0.5000
3 P 0.2489 0.0000 0.6270

Calculated volume   25.4 A^3/atom
Raw total energy   -26.95 eV per cell
Formation enthalpy at 0 K   15.10 kJ per mole of atoms

Among the records above, which one has the highest calculated volume?
TlCd2P

Which of these has the lowest calculated volume?
number 5

Among the records above, which one has the lowest raw total energy?
number 1